Ni2PtPb | Alexandria | PBE | optimized geometry; magnetic moment = 0.099 μB per atom; DFT total energy = -4.9999 eV per atom; DOS(E_F) = 5.359 states/eV/f.u.; calculated density = 12.23 g/cm3
1.0
-1.985 1.985 8.950
1.985 -1.985 8.950
1.985 1.985 -8.950
Ni Pt Pb
4 2 2
Cartesian
2.978 0.725 -2.238
0.725 0.993 2.238
-0.993 1.260 6.713
1.260 0.993 11.188
0.000 0.000 0.000
0.000 1.985 4.475
1.985 0.000 4.475
0.000 0.000 8.950